Crystalline GeSIO2 at its relaxed geometry, computed with GGA-PBE.

a = 3.7419 Å, b = 3.7419 Å, c = 6.7673 Å
α = 90.00°, β = 90.00°, γ = 90.00°
Space group P4/mmm (No. 123)
Asymmetric unit:
Ge 0.0000 0.0000 0.0000 [1 per cell]
S 0.5000 0.5000 0.5000 [1 per cell]
I 0.0000 0.0000 0.5000 [1 per cell]
O 0.0000 0.5000 0.0000 [2 per cell]

Properties
For the formation energy from raw total energies, the calculation gives -0.199 eV/atom. The volume is 94.8 Å³/f.u. For the total moment, the calculation gives 0.00 μB per cell.


Crystalline BeAlIn4 at its relaxed geometry, computed with GGA-PBE.

a = 8.5510 Å, b = 8.5510 Å, c = 8.5510 Å
α = 90.00°, β = 90.00°, γ = 90.00°
Space group F-43m (No. 216)
Asymmetric unit:
Be 0.0000 0.0000 0.0000 [4 per cell]
Al 0.2500 0.2500 0.2500 [4 per cell]
In 0.1252 0.1252 0.6252 [16 per cell]

Properties
The volume is 156.3 Å³/f.u. For the total moment, the calculation gives 0.00 μB per cell. Its formation energy is 0.661 eV per atom.


Crystalline LiInCu at its relaxed geometry, computed with GGA-PBE.

a = 3.3039 Å, b = 3.3757 Å, c = 8.7373 Å
α = 90.00°, β = 90.00°, γ = 90.00°
Space group Imm2 (No. 44)
Asymmetric unit:
Li 0.0000 0.0000 0.0000 [2 per cell]
In 0.0000 0.0000 0.3202 [2 per cell]
Cu 0.0000 0.0000 0.6436 [2 per cell]

Properties
The volume is 48.7 Å³/f.u. For the total moment, the calculation gives 0.00 μB per cell. Its formation energy is -0.132 eV per atom.


Crystalline Tl5Sb3Pb at its relaxed geometry, computed with GGA-PBE.

a = 13.4943 Å, b = 10.1616 Å, c = 11.3301 Å
α = 90.00°, β = 118.47°, γ = 90.00°
Space group C2/m (No. 12)
Asymmetric unit:
Tl 0.0000 0.1889 0.0000 [4 per cell]
Tl 0.1017 0.2400 0.7438 [8 per cell]
Tl 0.1876 0.5000 0.6144 [4 per cell]
Tl 0.2433 0.0000 0.0262 [4 per cell]
Sb 0.0000 0.0000 0.5000 [2 per cell]
Sb 0.0000 0.5000 0.0000 [2 per cell]
Sb 0.0348 0.5000 0.2982 [4 per cell]
Sb 0.0432 0.0000 0.2556 [4 per cell]
Pb 0.2444 0.5000 0.2695 [4 per cell]

Properties
For the formation energy from raw total energies, the calculation gives 0.131 eV/atom. The volume is 341.4 Å³/f.u. For the total moment, the calculation gives 0.00 μB per cell.


- The lowest volume belongs to which entry?
  LiInCu


- What is the total moment in the second record?
  0.00 μB per cell